DFT (PBE) results for a relaxed SiSeS2 crystal.

```
SiSeS2
1.0
1.714 0.989 8.047
-1.714 0.989 8.047
0.000 -1.979 8.047
Si Se S
1 1 2
Direct
0.000 0.000 0.000
0.500 0.500 0.500
0.090 0.090 0.090
0.910 0.910 0.910
```

Calculated values
Its uncorrected formation energy is 0.5951 eV per atom. The calculation puts the excess energy over the best structure of this formula in the dataset at 579 meV per atom. The value obtained for the raw total energy is -3.696 eV per atom. For the total magnetization, the calculation gives 0.000 μB/f.u. For the mass density, the calculation gives 3.5 g/cm3.